[1]
5
Lattice="-2.105 2.105 5.056 2.105 -2.105 5.056 2.105 2.105 -5.056" Properties=species:S:1:pos:R:3 comment="NdNiGe2Pd, relaxed, DFT PBE" magmom_total_mub_per_fu=0.0 polymorph_energy_mev_per_atom=51 pbc="T T T"
Ge 0.000 0.000 3.795
Ge 0.000 0.000 6.317
Nd 0.000 0.000 0.000
Ni 0.000 2.105 2.528
Pd 2.105 0.000 2.528



[2]
24
Lattice="7.696 0.000 0.000 0.000 4.434 0.000 -2.523 0.000 14.500" Properties=species:S:1:pos:R:3 comment="Zr2NiSn2Pd, relaxed, DFT PBE" energy_ev_per_atom=-6.70 magmom_total_mub_per_fu=0.0 pbc="T T T"
Ni 2.575 0.000 7.285
Ni -1.253 2.217 7.295
Ni 0.026 0.000 10.838
Ni -2.509 0.000 14.478
Pd 1.293 2.217 3.634
Pd 5.146 0.000 3.645
Pd 3.878 2.217 10.851
Pd 1.321 2.217 14.471
Sn 5.182 0.000 0.866
Sn 1.251 2.217 0.866
Sn 2.573 0.000 4.631
Sn 6.437 2.217 4.635
Sn 3.878 2.217 8.115
Sn 0.010 0.000 8.155
Sn 1.274 2.217 11.726
Sn 5.203 0.000 11.774
Zr 0.007 0.000 2.668
Zr 3.862 2.217 2.724
Zr 5.151 0.000 6.425
Zr 1.300 2.217 6.429
Zr 2.532 0.000 9.915
Zr -1.205 2.217 9.945
Zr -0.017 0.000 13.523
Zr 3.950 2.217 13.602



[3]
18
Lattice="0.573 -10.248 -4.958 9.118 -3.720 5.742 -10.980 2.817 1.200" Properties=species:S:1:pos:R:3 comment="Cs2Nd3Te4, relaxed, DFT PBE" energy_ev_per_atom=-4.25 magmom_total_mub_per_fu=3.0 pbc="T T T"
Cs 5.668 -6.293 2.535
Cs -1.726 -1.128 1.223
Cs 0.436 -10.022 0.761
Cs -6.957 -4.857 -0.551
Nd 0.098 -5.152 -0.644
Nd 4.943 -12.136 -0.252
Nd -2.781 -7.207 -1.683
Nd 1.491 -3.943 3.667
Nd -6.233 0.985 2.235
Nd -1.388 -5.999 2.627
Te 0.134 -7.689 -2.633
Te 2.116 -1.123 2.532
Te 1.690 -6.365 1.736
Te 4.244 -10.047 1.942
Te -5.533 -1.104 0.041
Te -2.979 -4.785 0.248
Te -3.405 -10.028 -0.548
Te -1.424 -3.461 4.616



[4]
32
Lattice="3.638 0.000 0.000 0.000 3.643 0.000 0.000 0.000 41.463" Properties=species:S:1:pos:R:3 comment="Cu15Te, relaxed, DFT PBE" polymorph_energy_mev_per_atom=1 pbc="T T T"
Cu 2.728 1.821 0.886
Cu 0.909 0.000 0.893
Cu 2.728 0.000 2.666
Cu 0.909 1.821 2.672
Cu 2.728 1.821 4.445
Cu 0.909 0.000 4.450
Cu 2.728 0.000 6.220
Cu 0.909 1.821 6.225
Cu 2.728 1.821 7.976
Cu 0.909 0.000 7.979
Cu 2.728 0.000 9.701
Cu 0.909 1.821 9.713
Cu 2.728 1.821 11.486
Cu 0.909 0.000 11.488
Cu 0.909 1.821 13.265
Cu 2.728 1.821 28.198
Cu 2.728 0.000 29.975
Cu 0.909 1.821 29.977
Cu 2.728 1.821 31.750
Cu 0.909 0.000 31.762
Cu 2.728 0.000 33.484
Cu 0.909 1.821 33.487
Cu 2.728 1.821 35.238
Cu 0.909 0.000 35.243
Cu 2.728 0.000 37.013
Cu 0.909 1.821 37.018
Cu 2.728 1.821 38.791
Cu 0.909 0.000 38.797
Cu 2.728 0.000 40.570
Cu 0.909 1.821 40.577
Te 2.728 0.000 13.821
Te 0.909 0.000 27.642



[5]
3
Lattice="-0.799 -4.762 -2.001 -4.385 -2.610 1.134 -3.644 -0.711 -3.680" Properties=species:S:1:pos:R:3 comment="PmInPb, relaxed, DFT PBE" magmom_total_mub_per_fu=0.0 polymorph_energy_mev_per_atom=0 pbc="T T T"
In -2.207 -2.021 -1.137
Pb -6.621 -6.062 -3.410
Pm 0.000 0.000 0.000



[6]
4
Lattice="-1.656 2.305 4.473 -4.662 -1.364 2.114 -0.153 -2.775 4.510" Properties=species:S:1:pos:R:3 comment="BaMgPdPb, relaxed, DFT PBE" polymorph_energy_mev_per_atom=0 pbc="T T T"
Ba 0.000 0.000 0.000
Mg -4.853 -1.376 8.323
Pb -3.235 -0.917 5.548
Pd -1.618 -0.459 2.774